[1]
5
Lattice="-1.6331 -1.6167 3.0576 -0.6546 -3.1757 -2.0288 3.3961 -1.3896 1.0793" Properties=species:S:1:pos:R:3 comment="BOsO3 (PBE-GGA, optimized geometry)" e_form_raw_mev_per_atom=235.6 dft_energy_ev_per_atom=-6.321 pbc="T T T"
B 0.5542 -3.0910 1.0540
Os 0.0000 0.0000 0.0000
O -0.3273 -1.5878 -1.0144
O 1.6981 -0.6948 0.5396
O -0.8166 -0.8083 1.5288



[2]
8
Lattice="5.9014 0.0000 0.0000 0.0000 5.9911 0.0289 -2.9507 -3.4184 6.8117" Properties=species:S:1:pos:R:3 comment="Ce4GaBi3 (PBE-GGA, optimized geometry)" dft_energy_ev_per_atom=-5.111 delta_e_f_ev_per_atom=-0.31 pbc="T T T"
Ce 0.0000 3.1966 1.4266
Ce 2.9507 -0.6240 5.4140
Ce 2.9507 2.4633 3.5359
Ce 0.0000 0.1093 3.3047
Ga 0.0000 0.0000 0.0000
Bi 0.0000 3.0574 4.7974
Bi 2.9507 -0.4848 2.0432
Bi 2.9507 2.9955 0.0144



Question: Which formula does entry 1 have?
Answer: BOsO3